1.
First-principles (GGA-PBE) data for a relaxed CuBr crystal, as listed in Alexandria.

```
CuBr
1.0
10.165 0.000 0.000
0.000 10.165 0.000
0.000 0.000 4.022
Cu Br
8 8
Direct
0.190 0.695 0.000
0.195 0.310 0.500
0.305 0.190 0.000
0.310 0.805 0.500
0.690 0.195 0.500
0.695 0.810 0.000
0.805 0.690 0.500
0.810 0.305 0.000
0.065 0.266 0.000
0.234 0.565 0.500
0.266 0.935 0.000
0.435 0.234 0.500
0.565 0.766 0.500
0.734 0.065 0.000
0.766 0.435 0.500
0.935 0.734 0.000
```

Uncorrected energy ... -3.090 eV per atom

2.
First-principles (GGA-PBE) data for a relaxed As3Pt2 crystal, as listed in Alexandria.

```
As3Pt2
1.0
4.214 0.000 0.000
-2.107 3.650 0.000
0.000 0.000 6.232
As Pt
3 2
Direct
0.000 0.000 0.000
0.333 0.667 0.345
0.667 0.333 0.655
0.333 0.667 0.768
0.667 0.333 0.232
```

Energy of formation from the pure elements ... -129 meV/atom
Uncorrected energy ... -5.335 eV per atom

3.
First-principles (GGA-PBE) data for a relaxed KMg2Mo crystal, as listed in Alexandria.

```
KMg2Mo
1.0
2.899 0.000 0.000
0.000 6.067 0.000
0.000 0.000 11.987
K Mg Mo
2 4 2
Direct
0.000 0.000 0.000
0.500 0.500 0.500
0.000 0.500 0.206
0.000 0.500 0.794
0.500 0.000 0.294
0.500 0.000 0.706
0.000 0.000 0.500
0.500 0.500 0.000
```

Energy above the lowest structure with this stoichiometry ... 363 meV per atom
Energy of formation from the pure elements ... 899 meV/atom
Uncorrected energy ... -2.881 eV per atom

4.
First-principles (GGA-PBE) data for a relaxed Nd2Mn2ZnRh5 crystal, as listed in Alexandria.

```
Nd2Mn2ZnRh5
1.0
9.692 0.000 0.000
0.000 9.692 0.000
0.000 0.000 3.697
Nd Mn Zn Rh
4 4 2 10
Direct
0.179 0.321 0.000
0.321 0.821 0.000
0.679 0.179 0.000
0.821 0.679 0.000
0.121 0.621 0.000
0.379 0.121 0.000
0.621 0.879 0.000
0.879 0.379 0.000
0.000 0.000 0.000
0.500 0.500 0.000
0.000 0.500 0.500
0.060 0.796 0.500
0.204 0.060 0.500
0.296 0.560 0.500
0.440 0.296 0.500
0.500 0.000 0.500
0.560 0.704 0.500
0.704 0.440 0.500
0.796 0.940 0.500
0.940 0.204 0.500
```

Energy of formation from the pure elements ... -321 meV/atom
Uncorrected energy ... -6.912 eV per atom